Record 1
DFT (PBE) results for a geometry-optimized DyNiGe2Rh2 structure.

Output
Energy of formation from the pure elements   -0.329 eV per atom
Calculated volume   17.8 A^3/atom
Total magnetization   0.0 μB per formula unit

abc: 4.4158 4.4158 5.4647
angles: 90.00 90.00 90.00
Sites, in units of the cell vectors:
Ni  0.0000  0.0000  0.0000
Dy  0.0000  0.0000  0.5000
Ge  0.5000  0.0000  0.0000
Ge  0.0000  0.5000  0.0000
Rh  0.5000  0.5000  0.2592
Rh  0.5000  0.5000  0.7408


Record 2
DFT (PBE) results for a geometry-optimized La6Cd2Co structure.

Output
Energy of formation from the pure elements   0.050 eV per atom
Calculated volume   37.7 A^3/atom
Total magnetization   0.0 μB per formula unit

abc: 7.4019 7.4019 12.3988
angles: 90.00 90.00 90.00
Sites, in units of the cell vectors:
La  0.3100  0.3100  0.6682
La  0.1900  0.8100  0.1682
La  0.6900  0.6900  0.3318
La  0.3100  0.3100  0.3318
La  0.8100  0.1900  0.1682
La  0.1900  0.8100  0.8318
La  0.2647  0.7353  0.5000
La  0.6900  0.6900  0.6682
La  0.7647  0.7647  0.0000
La  0.2353  0.2353  0.0000
La  0.8100  0.1900  0.8318
La  0.7353  0.2647  0.5000
Cd  0.0000  0.0000  0.3794
Cd  0.5000  0.5000  0.8794
Cd  0.5000  0.5000  0.1206
Cd  0.0000  0.0000  0.6206
Co  0.0000  0.0000  0.0000
Co  0.5000  0.5000  0.5000


Record 3
DFT (PBE) results for a geometry-optimized AcLaSe3 structure.

Output
Calculated volume   29.9 A^3/atom
E_form (uncorrected)   -2.052 eV per atom
Total magnetization   0.0 μB per formula unit

abc: 4.4152 8.0697 16.7861
angles: 90.00 90.00 90.00
Sites, in units of the cell vectors:
Ac  0.7500  0.8569  0.7980
Ac  0.2500  0.6431  0.2980
Ac  0.7500  0.3569  0.7020
Ac  0.2500  0.1431  0.2020
Se  0.7500  0.9897  0.6072
Se  0.2500  0.5103  0.1072
Se  0.2500  0.8726  0.9375
Se  0.7500  0.6274  0.4375
Se  0.2500  0.0103  0.3928
Se  0.2500  0.1482  0.7832
Se  0.7500  0.3518  0.2832
Se  0.7500  0.1274  0.0625
Se  0.2500  0.6482  0.7168
Se  0.2500  0.3726  0.5625
Se  0.7500  0.8518  0.2168
Se  0.7500  0.4897  0.8928
La  0.7500  0.2319  0.4568
La  0.2500  0.7681  0.5432
La  0.7500  0.7319  0.0432
La  0.2500  0.2681  0.9568


Record 4
DFT (PBE) results for a geometry-optimized Zr3CdN structure.

Output
Calculated volume   21.0 A^3/atom
E_form (uncorrected)   -0.459 eV per atom
Total magnetization   0.0 μB per formula unit

abc: 3.2820 5.8468 5.8468
angles: 110.61 90.00 90.00
Sites, in units of the cell vectors:
Zr  0.5000  0.1674  0.3604
Zr  0.0000  0.1531  0.8469
Zr  0.5000  0.6396  0.8326
N  0.5000  0.0159  0.9841
Cd  0.0000  0.6522  0.3478


Record 5
DFT (PBE) results for a geometry-optimized Pm4HIr2 structure.

Output
Calculated volume   23.8 A^3/atom
Total DFT energy (no corrections)   -6.0918 eV per atom
Total magnetization   0.0 μB per formula unit

abc: 4.7265 4.7265 8.1787
angles: 73.21 73.21 90.00
Sites, in units of the cell vectors:
Pm  0.6872  0.6872  0.6255
Pm  0.0000  0.5000  0.0000
Pm  0.3128  0.3128  0.3745
Pm  0.5000  0.0000  0.0000
Ir  0.8715  0.8715  0.2569
Ir  0.1285  0.1285  0.7431
H  0.0000  0.0000  0.0000


Record 6
DFT (PBE) results for a geometry-optimized Y6PSe2S3 structure.

Output
Calculated volume   22.5 A^3/atom
E_form (uncorrected)   -1.894 eV per atom
Total magnetization   0.0 μB per formula unit

abc: 6.9344 6.9344 6.8958
angles: 99.59 99.59 120.12
Sites, in units of the cell vectors:
Y  0.5972  0.9130  0.7396
Y  0.0870  0.4028  0.2604
Y  0.4028  0.0870  0.2604
Y  0.2289  0.2289  0.7386
Y  0.9130  0.5972  0.7396
Y  0.7711  0.7711  0.2614
S  0.8279  0.1721  0.5000
S  0.1721  0.8279  0.5000
S  0.5000  0.5000  0.5000
Se  0.6662  0.3338  0.0000
Se  0.3338  0.6662  0.0000
P  0.0000  0.0000  0.0000


Record 7
DFT (PBE) results for a geometry-optimized BaTaAs2 structure.

Output
Energy of formation from the pure elements   -0.433 eV per atom
Calculated volume   30.3 A^3/atom
Total magnetization   1.0 μB per formula unit

abc: 7.6040 7.6040 6.8138
angles: 56.08 56.08 90.00
Site moments in Bohr magnetons follow the coordinates.
Sites, in units of the cell vectors:
As  0.7088  0.1250  0.2500  -0.03
As  0.3750  0.2912  0.7500  -0.03
As  0.0412  0.6250  0.2500  -0.03
As  0.8750  0.9588  0.7500  -0.03
Ta  0.0000  0.0000  0.0000  0.59
Ta  0.7500  0.2500  0.5000  0.59
Ba  0.5000  0.5000  0.0000  0.04
Ba  0.2500  0.7500  0.5000  0.04


Record 8
DFT (PBE) results for a geometry-optimized PrErTlAu structure.

Output
Energy of formation from the pure elements   -0.603 eV per atom
Calculated volume   26.5 A^3/atom
Total magnetization   0.0 μB per formula unit

abc: 3.6669 3.6669 7.8842
angles: 90.00 90.00 90.00
Sites, in units of the cell vectors:
Er  0.5000  0.5000  0.5800
Tl  0.0000  0.0000  0.8405
Pr  0.5000  0.5000  0.1199
Au  0.0000  0.0000  0.3875


Please write out number 6 again, unchanged.
DFT (PBE) results for a geometry-optimized Y6PSe2S3 structure.

Output
Calculated volume   22.5 A^3/atom
E_form (uncorrected)   -1.894 eV per atom
Total magnetization   0.0 μB per formula unit

abc: 6.9344 6.9344 6.8958
angles: 99.59 99.59 120.12
Sites, in units of the cell vectors:
Y  0.5972  0.9130  0.7396
Y  0.0870  0.4028  0.2604
Y  0.4028  0.0870  0.2604
Y  0.2289  0.2289  0.7386
Y  0.9130  0.5972  0.7396
Y  0.7711  0.7711  0.2614
S  0.8279  0.1721  0.5000
S  0.1721  0.8279  0.5000
S  0.5000  0.5000  0.5000
Se  0.6662  0.3338  0.0000
Se  0.3338  0.6662  0.0000
P  0.0000  0.0000  0.0000